[1]
Tl3HgSb3 | PBE | relaxed

a b c (Å): 8.339 8.339 8.339
angles (deg): 90.00 90.00 90.00
Atoms (fractional coordinates):
Sb 0.000 0.250 0.500
Sb 0.000 0.750 0.500
Sb 0.500 0.000 0.750
Sb 0.750 0.500 0.000
Sb 0.500 0.000 0.250
Sb 0.250 0.500 0.000
Tl 0.250 0.000 0.500
Tl 0.000 0.500 0.250
Tl 0.500 0.750 0.000
Tl 0.750 0.000 0.500
Tl 0.000 0.500 0.750
Tl 0.500 0.250 0.000
Hg 0.500 0.500 0.500
Hg 0.000 0.000 0.000

## Properties
relative energy among the computed polymorphs = 0.965 eV/f.u.
formation energy from raw total energies = 0.20 eV/atom
space group = No. 223

=====

[2]
Re4P | PBE | relaxed

a b c (Å): 4.321 4.321 4.321
angles (deg): 90.00 90.00 90.00
Atoms (fractional coordinates):
P 0.500 0.500 0.500
Re 0.000 0.000 0.000
Re 0.500 0.000 0.500
Re 0.000 0.500 0.500
Re 0.500 0.500 0.000

## Properties
relative energy among the computed polymorphs = 0.304 eV/f.u.
space group = No. 221
calculated formation energy = 1.070 eV/atom

=====

[3]
SrPrTe2 | PBE | relaxed

a b c (Å): 4.576 4.576 8.149
angles (deg): 73.69 73.69 60.00
Atoms (fractional coordinates):
Pr 0.000 0.000 0.000
Sr 0.500 0.500 0.500
Te 0.252 0.252 0.243
Te 0.748 0.748 0.757

## Properties
relative energy among the computed polymorphs = 0.000 eV/f.u.
formation energy from raw total energies = -1.56 eV/atom
space group = No. 166

=====

[4]
Si2SbP | PBE | relaxed

a b c (Å): 5.270 5.270 8.634
angles (deg): 40.12 40.12 36.60
Atoms (fractional coordinates):
P 0.250 0.250 0.250
Sb 0.750 0.750 0.750
Si 0.860 0.860 0.335
Si 0.640 0.640 0.165

## Properties
relative energy among the computed polymorphs = 0.577 eV/f.u.
formation energy from raw total energies = 0.37 eV/atom
space group = No. 12

=====

[5]
La2Ti2Pt | PBE | relaxed

a b c (Å): 6.807 6.807 5.172
angles (deg): 90.00 90.00 90.00
Atoms (fractional coordinates):
Ti 0.351 0.851 0.000
Ti 0.851 0.649 0.000
Ti 0.649 0.149 0.000
Ti 0.149 0.351 0.000
Pt 0.000 0.000 0.000
Pt 0.500 0.500 0.000
La 0.170 0.670 0.500
La 0.670 0.830 0.500
La 0.830 0.330 0.500
La 0.330 0.170 0.500

## Properties
space group = No. 127
calculated formation energy = -0.213 eV/atom

=====

[6]
CeErAl2Zn2 | PBE | relaxed

a b c (Å): 4.484 4.484 7.321
angles (deg): 90.00 90.00 120.00
Atoms (fractional coordinates):
Ce 0.000 0.000 0.000
Er 0.000 0.000 0.500
Al 0.667 0.333 0.737
Al 0.333 0.667 0.263
Zn 0.667 0.333 0.274
Zn 0.333 0.667 0.726

## Properties
space group = No. 164
calculated formation energy = -0.388 eV/atom

=====

[7]
TbSm2DyAs4 | PBE | relaxed

a b c (Å): 4.174 7.224 7.225
angles (deg): 70.53 90.00 90.00
Atoms (fractional coordinates):
Tb 0.500 0.500 0.000
Sm 0.000 0.000 0.000
Sm 0.500 0.000 0.500
Dy 0.000 0.500 0.500
As 0.000 0.745 0.751
As 0.000 0.255 0.249
As 0.500 0.745 0.252
As 0.500 0.255 0.748

## Properties
space group = No. 10
calculated formation energy = -1.532 eV/atom

=====

[8]
CaZnN2O | PBE | relaxed

a b c (Å): 4.611 4.611 4.331
angles (deg): 90.00 90.00 90.00
Atoms (fractional coordinates):
Zn 0.500 0.500 0.500
Ca 0.000 0.000 0.000
O 0.000 0.000 0.500
N 0.000 0.500 0.000
N 0.500 0.000 0.000

## Properties
formation energy from raw total energies = 1.22 eV/atom
space group = No. 123

=====

[9]
KFe2Cu | PBE | relaxed

a b c (Å): 5.899 5.899 5.899
angles (deg): 153.45 124.13 62.90
Atoms (fractional coordinates):
Cu 0.797 0.297 0.500
Fe 0.009 0.009 0.000
Fe 0.194 0.694 0.500
K 0.499 0.499 0.000

## Properties
relative energy among the computed polymorphs = 1.205 eV/f.u.
space group = No. 44
calculated formation energy = 0.896 eV/atom

=====

[10]
NdZrAg2 | PBE | relaxed

a b c (Å): 5.105 5.105 5.105
angles (deg): 60.00 60.00 60.00
Atoms (fractional coordinates):
Nd 0.000 0.000 0.000
Zr 0.500 0.500 0.500
Ag 0.250 0.250 0.250
Ag 0.750 0.750 0.750

## Properties
relative energy among the computed polymorphs = 0.216 eV/f.u.
space group = No. 225
calculated formation energy = -0.025 eV/atom

=====

[11]
ZnCr2Fe | PBE | relaxed

a b c (Å): 4.096 4.096 4.096
angles (deg): 119.96 119.96 90.07
Atoms (fractional coordinates):
Cr 0.000 0.000 0.000
Cr 0.250 0.750 0.500
Fe 0.500 0.500 0.000
Zn 0.750 0.250 0.500

## Properties
space group = No. 216
calculated formation energy = 0.180 eV/atom

=====

[12]
Ba2SbRh2 | PBE | relaxed

a b c (Å): 6.135 6.135 8.346
angles (deg): 79.70 79.70 62.47
Atoms (fractional coordinates):
Ba 0.483 0.222 0.145
Ba 0.778 0.517 0.355
Ba 0.517 0.778 0.855
Ba 0.222 0.483 0.645
Sb 0.102 0.898 0.250
Sb 0.898 0.102 0.750
Rh 0.737 0.004 0.501
Rh 0.996 0.263 0.999
Rh 0.263 0.996 0.499
Rh 0.004 0.737 0.001

## Properties
relative energy among the computed polymorphs = 0.000 eV/f.u.
formation energy from raw total energies = -0.53 eV/atom
space group = No. 15

=====

| no. | spin magnetization (μB/f.u.) |
| --- | --- |
| 1 | 0.00 |
| 2 | 0.01 |
| 3 | 0.00 |
| 4 | 0.00 |
| 5 | 0.00 |
| 6 | 0.98 |
| 7 | 0.00 |
| 8 | 4.29 |
| 9 | 5.48 |
| 10 | 1.35 |
| 11 | 1.97 |
| 12 | 0.00 |